Entry from Alexandria: a relaxed InIr2Pb crystal (PBE).

## Properties
Theoretical density, kg/m3: 15930
Energy of formation from the pure elements, meV/atom: 263

abc: 3.156 3.156 7.393
angles: 90.00 90.00 89.96
Sites, in units of the cell vectors:
Pb: 0.500 0.500 0.250
Ir: 0.000 0.000 0.514
Ir: 0.000 0.000 0.986
In: 0.500 0.500 0.750

---

Entry from Alexandria: a relaxed InIr2Pb crystal (PBE).

## Properties
Theoretical density, kg/m3: 15994
Energy of formation from the pure elements, meV/atom: 285

abc: 7.014 4.866 3.145
angles: 90.16 63.10 125.06
Sites, in units of the cell vectors:
Ir: 0.000 0.000 0.000
Pb: 0.000 0.500 0.500
In: 0.500 0.500 0.000
Ir: 0.500 0.000 0.500

---

Entry from Alexandria: a relaxed In3IrPb crystal (PBE).

## Properties
Theoretical density, kg/m3: 8801
Energy of formation from the pure elements, meV/atom: 54

abc: 5.197 5.197 5.197
angles: 90.00 90.00 90.00
Sites, in units of the cell vectors:
In: 0.000 0.000 0.500
In: 0.000 0.500 0.000
Pb: 0.500 0.500 0.500
In: 0.500 0.000 0.000
Ir: 0.000 0.000 0.000

---

Entry from Alexandria: a relaxed InIr2Pb crystal (PBE).

## Properties
Theoretical density, kg/m3: 10405
Energy of formation from the pure elements, meV/atom: 934

abc: 5.972 5.972 7.604
angles: 66.88 66.88 90.00
Sites, in units of the cell vectors:
Pb: 0.000 0.000 0.000
Ir: 0.875 0.870 0.750
In: 0.250 0.750 0.500
Ir: 0.620 0.125 0.250
Ir: 0.375 0.380 0.750
In: 0.500 0.500 0.000
Ir: 0.130 0.625 0.250
Pb: 0.750 0.250 0.500

---

Entry from Alexandria: a relaxed InIr2Pb crystal (PBE).

## Properties
Theoretical density, kg/m3: 15577
Energy of formation from the pure elements, meV/atom: 367

abc: 8.916 8.916 8.916
angles: 20.39 20.39 20.39
Sites, in units of the cell vectors:
Pb: 0.250 0.250 0.250
Ir: 0.497 0.497 0.497
Ir: 0.003 0.003 0.003
In: 0.750 0.750 0.750

---

Entry from Alexandria: a relaxed InIr2Pb crystal (PBE).

## Properties
Theoretical density, kg/m3: 14175
Energy of formation from the pure elements, meV/atom: 478

abc: 10.679 10.679 10.679
angles: 16.21 16.21 16.21
Sites, in units of the cell vectors:
In: 0.733 0.733 0.733
Pb: 0.515 0.515 0.515
Ir: 0.991 0.991 0.991
Ir: 0.261 0.261 0.261

---

Entry from Alexandria: a relaxed InIr2Pb crystal (PBE).

## Properties
Theoretical density, kg/m3: 14246
Energy of formation from the pure elements, meV/atom: 283

abc: 6.804 6.804 6.804
angles: 154.58 142.36 45.97
Sites, in units of the cell vectors:
Ir: 0.253 0.753 0.500
In: 0.718 0.218 0.500
Pb: 0.457 0.457 0.000
Ir: 0.072 0.072 0.000

---

Entry from Alexandria: a relaxed InIr2Pb crystal (PBE).

## Properties
Theoretical density, kg/m3: 14620
Energy of formation from the pure elements, meV/atom: 326

abc: 3.045 3.045 8.655
angles: 90.00 90.00 90.00
Sites, in units of the cell vectors:
In: 0.500 0.500 0.803
Ir: 0.500 0.500 0.217
Pb: 0.000 0.000 0.458
Ir: 0.000 0.000 0.022

---

Entry from Alexandria: a relaxed InIrPb3 crystal (PBE).

## Properties
Theoretical density, kg/m3: 9991
Energy of formation from the pure elements, meV/atom: 271

abc: 5.364 5.364 5.364
angles: 90.00 90.00 90.00
Sites, in units of the cell vectors:
Pb: 0.000 0.500 0.000
Pb: 0.500 0.000 0.000
In: 0.500 0.500 0.500
Pb: 0.000 0.000 0.500
Ir: 0.000 0.000 0.000

---

Entry from Alexandria: a relaxed In4IrPb crystal (PBE).

## Properties
Theoretical density, kg/m3: 9572
Energy of formation from the pure elements, meV/atom: 572

abc: 5.950 5.950 5.950
angles: 60.00 60.00 60.00
Sites, in units of the cell vectors:
Ir: 0.750 0.750 0.750
Pb: 0.000 0.000 0.000
In: 0.376 0.376 0.873
In: 0.376 0.873 0.376
In: 0.376 0.376 0.376
In: 0.873 0.376 0.376

---

Entry from Alexandria: a relaxed InIr2Pb crystal (PBE).

## Properties
Theoretical density, kg/m3: 15570
Energy of formation from the pure elements, meV/atom: 380

abc: 4.710 4.710 5.461
angles: 79.11 79.11 39.40
Sites, in units of the cell vectors:
Pb: 0.250 0.250 0.250
In: 0.750 0.750 0.750
Ir: 0.496 0.496 0.514
Ir: 0.004 0.004 0.986

---

Entry from Alexandria: a relaxed InIr2Pb crystal (PBE).

## Properties
Theoretical density, kg/m3: 15799
Energy of formation from the pure elements, meV/atom: 299

abc: 5.305 5.305 4.789
angles: 74.79 74.79 34.97
Sites, in units of the cell vectors:
Ir: 0.001 0.001 0.926
Pb: 0.507 0.507 0.429
Ir: 0.251 0.251 0.320
In: 0.741 0.741 0.826

---

Entry from Alexandria: a relaxed InIr2Pb crystal (PBE).

## Properties
Theoretical density, kg/m3: 15418
Energy of formation from the pure elements, meV/atom: 556

abc: 4.756 4.756 4.756
angles: 60.00 60.00 60.00
Sites, in units of the cell vectors:
Ir: 0.250 0.250 0.250
Ir: 0.000 0.000 0.000
Pb: 0.750 0.750 0.750
In: 0.500 0.500 0.500

---

Entry from Alexandria: a relaxed InIr2Pb crystal (PBE).

## Properties
Theoretical density, kg/m3: 16013
Energy of formation from the pure elements, meV/atom: 276

abc: 4.872 4.872 4.872
angles: 125.85 125.94 80.06
Sites, in units of the cell vectors:
Pb: 0.250 0.750 0.500
Ir: 0.500 0.500 0.000
Ir: 0.000 0.000 0.000
In: 0.750 0.250 0.500